Below is a relaxed structure of Tb2Al4ZnAu3, with properties calculated at the GGA-PBE level.

POSCAR file:
```
Tb2Al4ZnAu3
1.0
4.276 0.000 0.000
0.000 4.276 0.000
0.000 0.000 10.723
Al Au Zn Tb
4 3 1 2
direct
0.500 0.500 0.000
0.000 0.500 0.365
0.000 0.000 0.000
0.500 0.000 0.635
0.500 0.000 0.866
0.000 0.500 0.134
0.000 0.000 0.500
0.500 0.500 0.500
0.000 0.500 0.746
0.500 0.000 0.254
```

Results
Symmetry: P-4m2 (115)
E_form (meV per atom): -652.4
Magnetic moment (μB/f.u.): 0.00
Raw total energy (eV per atom): -4.186
DOS(E_F) (states/eV per cell): 4.66